The following is a DFT calculation (PBE-GGA) of a relaxed structure of PIr2Pb.

Cell: 5.7963 5.7963 6.7749 Å, 64.67 64.67 90.00°
Fractional positions:
Pb1 0.0000 0.0000 0.0000
Pb2 0.7500 0.2500 0.5000
P1 0.5000 0.5000 0.0000
P2 0.2500 0.7500 0.5000
Ir1 0.5557 0.1250 0.2500
Ir2 0.1943 0.6250 0.2500
Ir3 0.3750 0.4443 0.7500
Ir4 0.8750 0.8057 0.7500

Summary:
Fermi-level density of states: 1.66 states/eV/f.u.
E above lowest polymorph: 213 meV/atom
E_tot: -6.553 eV per atom
SG: I-42d